Here is crystalline LiTi2SbP at its relaxed geometry from Alexandria via LeMat-Bulk. Energies are from PBE.

a b c (Å): 5.1471 5.2755 5.1471
angles (deg): 90.00 90.00 90.00
Closest atoms and distances in Å follow each position.
Positions (direct):
Li: 0.5000 0.5000 0.5000  4 P 3.64, 8 Ti 3.69
Ti: 0.5000 0.0000 0.0000  2 Sb 2.57
Sb: 0.0000 0.0000 0.0000  4 Ti 2.57, 2 P 2.64
P: 0.0000 0.5000 0.0000  2 Sb 2.64
Ti: 0.0000 0.0000 0.5000  2 Sb 2.57

Values from the calculation:
DOS at the Fermi energy   0.799 states/eV per atom
M_tot   2.946 Bohr magnetons per cell
E_form (uncorrected)   0.895 eV/atom
Crystal system   tetragonal